# In3P4 | Alexandria via LeMat-Bulk | PBE | optimized geometry
# Total moment   0.000 μB per cell
# Energy of formation   0.1995 eV/atom
# Distance to the lowest polymorph of the same formula   0.0000 eV/atom
# DOS at the Fermi energy   2.6 states/eV/cell
# Density   5.3 Mg/m³
data_In3P4
_chemical_formula_sum 'In3 P4'
_cell_length_a 13.739
_cell_length_b 13.739
_cell_length_c 13.739
_cell_angle_alpha 166.21
_cell_angle_beta 166.21
_cell_angle_gamma 19.55
_space_group_name_H-M_alt 'P 1'
_space_group_IT_number 1
_space_group_name_Hall 'P 1'
loop_
_atom_site_label
_atom_site_fract_x
_atom_site_fract_y
_atom_site_fract_z
In1 0.000 0.000 0.000
In2 0.701 0.701 0.000
In3 0.299 0.299 0.000
P1 0.885 0.885 0.000
P2 0.115 0.115 0.000
P3 0.591 0.591 0.000
P4 0.409 0.409 0.000